# 1
{"formula": "Sn3Se3Br", "functional": "PBE", "state": "optimized geometry", "lattice": [[-0.357, -5.689, 1.046], [5.487, -1.787, -7.844], [4.205, 1.332, 8.682]], "species": ["Sn", "Sn", "Sn", "Sn", "Sn", "Sn", "Se", "Se", "Se", "Se", "Se", "Se", "Br", "Br"], "frac_coords": [[0.750, 0.074, 0.748], [0.250, 0.748, 0.674], [0.750, 0.252, 0.326], [0.250, 0.926, 0.252], [0.750, 0.674, 0.926], [0.250, 0.326, 0.074], [0.250, 0.257, 0.314], [0.750, 0.743, 0.686], [0.750, 0.314, 0.057], [0.250, 0.686, 0.943], [0.250, 0.057, 0.743], [0.750, 0.943, 0.257], [0.750, 0.333, 0.667], [0.250, 0.667, 0.333]], "relative_energy_ev_per_atom": 0.011, "formation_energy_uncorrected_ev_per_atom": -0.395, "dos_at_fermi_per_ev_atom": 0.2485}



# 2
{"formula": "TbCe2Br2N2", "functional": "PBE", "state": "optimized geometry", "lattice": [[-3.226, 2.702, 1.677], [-3.042, -3.318, -0.505], [4.752, -2.286, 6.708]], "species": ["Br", "Br", "Ce", "Ce", "N", "N", "Tb"], "frac_coords": [[0.814, 0.814, 0.629], [0.186, 0.186, 0.371], [0.408, 0.408, 0.816], [0.592, 0.592, 0.184], [0.000, 0.500, 0.000], [0.500, 0.000, 0.000], [0.000, 0.000, 0.000]], "formation_energy_uncorrected_ev_per_atom": -1.334, "dos_at_fermi_per_ev_atom": 1.9311}



# 3
{"formula": "MnV4Fe3", "functional": "PBE", "state": "optimized geometry", "lattice": [[-2.266, 1.258, -1.238], [-1.385, -2.516, -0.021], [-4.384, 2.327, 10.393]], "species": ["Fe", "Fe", "Fe", "V", "V", "V", "V", "Mn"], "frac_coords": [[0.500, 0.500, 0.249], [0.500, 0.500, 0.500], [0.500, 0.500, 0.751], [0.000, 0.000, 0.877], [0.000, 0.000, 0.625], [0.000, 0.000, 0.375], [0.000, 0.000, 0.123], [0.500, 0.500, 0.000]], "e_form_ev_per_fu": -1.29, "dos_at_fermi_per_ev_atom": 1.0430}



# 4
{"formula": "LaTb2Sm4Mg", "functional": "PBE", "state": "optimized geometry", "lattice": [[5.883, 0.000, 0.000], [0.001, 9.530, 0.465], [0.001, 3.392, 4.801]], "species": ["Tb", "Tb", "La", "Sm", "Sm", "Sm", "Sm", "Mg"], "frac_coords": [[0.500, 0.000, 0.500], [0.000, 0.000, 0.000], [0.500, 0.500, 0.000], [0.000, 0.255, 0.245], [0.500, 0.745, 0.255], [0.500, 0.255, 0.745], [0.000, 0.745, 0.755], [0.000, 0.500, 0.500]], "e_form_ev_per_fu": 0.70, "dos_at_fermi_per_ev_atom": 1.7930}



Let's list total DFT energy (no corrections) in order: -53.8; -45.8; -72.3; -34.0 eV for the cell shown.